20
Lattice="4.5053 0.0000 0.0000 0.0000 4.5053 0.0000 0.0000 0.0000 23.5997" Properties=species:S:1:pos:R:3 comment="Li4HoIn15 (PBE-GGA, optimized geometry)" magmom_total_mub_per_fu=0.000 e_form_ev_per_atom=-0.18 sg=P4/mmm pbc="T T T"
Li 0.0000 0.0000 2.2967
Li 0.0000 0.0000 7.1328
Li 0.0000 0.0000 16.4669
Li 0.0000 0.0000 21.3029
Ho 0.0000 0.0000 11.7998
In 0.0000 2.2526 0.0000
In 0.0000 2.2526 4.6885
In 0.0000 2.2526 9.3489
In 0.0000 2.2526 14.2508
In 0.0000 2.2526 18.9111
In 2.2526 0.0000 0.0000
In 2.2526 0.0000 4.6885
In 2.2526 0.0000 9.3489
In 2.2526 0.0000 14.2508
In 2.2526 0.0000 18.9111
In 2.2526 2.2526 2.3240
In 2.2526 2.2526 7.0664
In 2.2526 2.2526 11.7998
In 2.2526 2.2526 16.5333
In 2.2526 2.2526 21.2756